RbLi2CaPd | PBE | relaxed

Output
Symmetry: P4/mmm (123)
DFT formation energy: -0.061 eV per atom
Calculated total energy: -12.30 eV/f.u.

Cell lengths 5.435, 5.435, 5.456 Å; angles 90.00, 90.00, 90.00 degrees
Fractional positions:
Rb (0.000, 0.000, 0.000)
Li (0.000, 0.500, 0.500)
Li (0.500, 0.000, 0.500)
Ca (0.500, 0.500, 0.000)
Pd (0.500, 0.500, 0.500)